(1)
# PBE Sc2In2Cl, optimized geometry
# Formation energy from raw total energies in eV per atom: -0.672
data_Sc2In2Cl
_chemical_formula_sum 'Sc4 In4 Cl2'
_cell_length_a 6.9299
_cell_length_b 6.9299
_cell_length_c 4.8125
_cell_angle_alpha 90.00
_cell_angle_beta 90.00
_cell_angle_gamma 90.00
_space_group_name_H-M_alt 'P 4/m b m'
_space_group_IT_number 127
_space_group_name_Hall '-P 4 2ab'
loop_
_atom_site_label
_atom_site_type_symbol
_atom_site_fract_x
_atom_site_fract_y
_atom_site_fract_z
Sc1 Sc 0.1611 0.3389 0.0000
In1 In 0.1489 0.6489 0.5000
Cl1 Cl 0.0000 0.0000 0.0000



(2)
# PBE CsScPdF6, optimized geometry
# Formation energy from raw total energies in eV per atom: -2.759
data_CsScPdF6
_chemical_formula_sum 'Cs1 Sc1 Pd1 F6'
_cell_length_a 5.7290
_cell_length_b 5.7458
_cell_length_c 6.3433
_cell_angle_alpha 91.91
_cell_angle_beta 92.03
_cell_angle_gamma 114.50
_space_group_name_H-M_alt 'P 1'
_space_group_IT_number 1
loop_
_space_group_symop_operation_xyz
'x,y,z'
loop_
_atom_site_label
_atom_site_type_symbol
_atom_site_fract_x
_atom_site_fract_y
_atom_site_fract_z
Cs1 Cs 0.0000 0.0000 0.0000
Sc1 Sc 0.3526 0.6488 0.5006
Pd1 Pd 0.6913 0.3095 0.5000
F1 F 0.0345 0.3582 0.6379
F2 F 0.1291 0.6463 0.2659
F3 F 0.3571 0.8695 0.7371
F4 F 0.3775 0.3151 0.3540
F5 F 0.6419 0.9670 0.3628
F6 F 0.6880 0.6234 0.6452



(3)
# PBE ZnRe2As, optimized geometry
# DFT formation energy in eV per formula unit: 1.63
# Excess energy over the best structure of this formula in the dataset in eV/atom: 0.263
data_ZnRe2As
_chemical_formula_sum 'Zn1 Re2 As1'
_cell_length_a 4.6083
_cell_length_b 2.9036
_cell_length_c 4.8528
_cell_angle_alpha 90.00
_cell_angle_beta 112.67
_cell_angle_gamma 90.00
_space_group_name_H-M_alt 'P 1 2/m 1'
_space_group_IT_number 10
loop_
_space_group_symop_operation_xyz
'x,y,z'
'-x,-y,-z'
'-x,y,-z'
'x,-y,z'
loop_
_atom_site_label
_atom_site_type_symbol
_atom_site_fract_x
_atom_site_fract_y
_atom_site_fract_z
Zn1 Zn 0.0000 0.0000 0.0000
Re1 Re 0.5000 0.0000 0.5000
Re2 Re 0.5000 0.5000 0.0000
As1 As 0.0000 0.5000 0.5000



(4)
# PBE Mg2B7Ir12, optimized geometry
# DFT formation energy in eV per formula unit: -4.66
data_Mg2B7Ir12
_chemical_formula_sum 'Mg2 B7 Ir12'
_cell_length_a 8.8447
_cell_length_b 8.8447
_cell_length_c 3.8740
_cell_angle_alpha 90.00
_cell_angle_beta 90.00
_cell_angle_gamma 120.00
_space_group_name_H-M_alt 'P -6'
_space_group_IT_number 174
loop_
_space_group_symop_operation_xyz
'x,y,z'
'-x+y,-x,-z'
'-y,x-y,z'
'x,y,-z'
'-x+y,-x,z'
'-y,x-y,-z'
loop_
_atom_site_label
_atom_site_type_symbol
_atom_site_fract_x
_atom_site_fract_y
_atom_site_fract_z
Mg1 Mg 0.0000 0.0000 0.0000
Mg2 Mg 0.3333 0.6667 0.5000
B1 B 0.0805 0.4278 0.0000
B2 B 0.2723 0.2158 0.5000
B3 B 0.6667 0.3333 0.0000
Ir1 Ir 0.0632 0.2690 0.5000
Ir2 Ir 0.1130 0.6828 0.0000
Ir3 Ir 0.3919 0.1781 0.0000
Ir4 Ir 0.5411 0.4250 0.5000



(5)
# PBE Cr2Mo2W3, optimized geometry
# DFT formation energy in eV per formula unit: 1.30
data_Cr2Mo2W3
_chemical_formula_sum 'Cr4 Mo4 W6'
_cell_length_a 18.3008
_cell_length_b 4.3226
_cell_length_c 2.6800
_cell_angle_alpha 90.00
_cell_angle_beta 95.36
_cell_angle_gamma 90.00
_space_group_name_H-M_alt 'C 1 2/m 1'
_space_group_IT_number 12
loop_
_space_group_symop_operation_xyz
'x,y,z'
'-x,-y,-z'
'-x,y,-z'
'x,-y,z'
'x+1/2,y+1/2,z'
'-x+1/2,-y+1/2,-z'
'-x+1/2,y+1/2,-z'
'x+1/2,-y+1/2,z'
loop_
_atom_site_label
_atom_site_type_symbol
_atom_site_fract_x
_atom_site_fract_y
_atom_site_fract_z
Cr1 Cr 0.0640 0.0000 0.2021
Mo1 Mo 0.2133 0.0000 0.3233
W1 W 0.0000 0.5000 0.5000
W2 W 0.1384 0.5000 0.9186



(6)
# PBE Ba2UAlS6, optimized geometry
# Formation energy from raw total energies in eV per atom: -1.591
data_Ba2UAlS6
_chemical_formula_sum 'Ba8 U4 Al4 S24'
_cell_length_a 9.9683
_cell_length_b 9.9683
_cell_length_c 9.9683
_cell_angle_alpha 90.00
_cell_angle_beta 90.00
_cell_angle_gamma 90.00
_space_group_name_H-M_alt 'F m -3 m'
_space_group_IT_number 225
_space_group_name_Hall '-F 4 2 3'
loop_
_atom_site_label
_atom_site_type_symbol
_atom_site_fract_x
_atom_site_fract_y
_atom_site_fract_z
Ba1 Ba 0.2500 0.2500 0.2500
U1 U 0.0000 0.0000 0.0000
Al1 Al 0.0000 0.0000 0.5000
S1 S 0.0000 0.0000 0.2589



(7)
# PBE SrTaNi2Ag, optimized geometry
# DFT formation energy in eV per formula unit: 9.89
data_SrTaNi2Ag
_chemical_formula_sum 'Sr1 Ta1 Ni2 Ag1'
_cell_length_a 4.6149
_cell_length_b 4.6149
_cell_length_c 5.1108
_cell_angle_alpha 90.00
_cell_angle_beta 90.00
_cell_angle_gamma 90.00
_space_group_name_H-M_alt 'P 4/m m m'
_space_group_IT_number 123
_space_group_name_Hall '-P 4 2'
loop_
_atom_site_label
_atom_site_type_symbol
_atom_site_fract_x
_atom_site_fract_y
_atom_site_fract_z
Sr1 Sr 0.0000 0.0000 0.0000
Ta1 Ta 0.5000 0.5000 0.5000
Ni1 Ni 0.0000 0.5000 0.0000
Ag1 Ag 0.0000 0.0000 0.5000



(8)
# PBE TiCr2Co, optimized geometry
# DFT formation energy in eV per formula unit: 1.79
# Excess energy over the best structure of this formula in the dataset in eV/atom: 0.292
data_TiCr2Co
_chemical_formula_sum 'Ti4 Cr8 Co4'
_cell_length_a 6.7179
_cell_length_b 6.7179
_cell_length_c 4.6978
_cell_angle_alpha 90.00
_cell_angle_beta 90.00
_cell_angle_gamma 90.00
_space_group_name_H-M_alt 'I -4 2 d'
_space_group_IT_number 122
_space_group_name_Hall 'I -4 2bw'
loop_
_atom_site_label
_atom_site_type_symbol
_atom_site_fract_x
_atom_site_fract_y
_atom_site_fract_z
Ti1 Ti 0.0000 0.0000 0.0000
Cr1 Cr 0.2174 0.7500 0.6250
Co1 Co 0.0000 0.0000 0.5000



(9)
# PBE Er4C2O, optimized geometry
# Formation energy from raw total energies in eV per atom: -1.159
data_Er4C2O
_chemical_formula_sum 'Er12 C6 O3'
_cell_length_a 3.5135
_cell_length_b 3.5135
_cell_length_c 35.4434
_cell_angle_alpha 90.00
_cell_angle_beta 90.00
_cell_angle_gamma 120.00
_space_group_name_H-M_alt 'R -3 m'
_space_group_IT_number 166
_space_group_name_Hall '-R 3 2"'
loop_
_atom_site_label
_atom_site_type_symbol
_atom_site_fract_x
_atom_site_fract_y
_atom_site_fract_z
Er1 Er 0.0000 0.0000 0.1159
Er2 Er 0.0000 0.0000 0.2932
C1 C 0.0000 0.0000 0.4134
O1 O 0.0000 0.0000 0.0000



(10)
# PBE CaAgOs2, optimized geometry
# DFT formation energy in eV per formula unit: 2.96
# Excess energy over the best structure of this formula in the dataset in eV/atom: 0.413
data_CaAgOs2
_chemical_formula_sum 'Ca2 Ag2 Os4'
_cell_length_a 3.8447
_cell_length_b 3.8447
_cell_length_c 9.5828
_cell_angle_alpha 90.00
_cell_angle_beta 90.00
_cell_angle_gamma 90.00
_space_group_name_H-M_alt 'I 4/m m m'
_space_group_IT_number 139
_space_group_name_Hall '-I 4 2'
loop_
_atom_site_label
_atom_site_type_symbol
_atom_site_fract_x
_atom_site_fract_y
_atom_site_fract_z
Ca1 Ca 0.0000 0.0000 0.0000
Ag1 Ag 0.0000 0.0000 0.5000
Os1 Os 0.0000 0.5000 0.2500



(11)
# PBE CdIrOs2, optimized geometry
# DFT formation energy in eV per formula unit: 2.02
data_CdIrOs2
_chemical_formula_sum 'Cd2 Ir2 Os4'
_cell_length_a 2.7649
_cell_length_b 4.5890
_cell_length_c 10.2867
_cell_angle_alpha 90.00
_cell_angle_beta 90.00
_cell_angle_gamma 90.00
_space_group_name_H-M_alt 'I m m m'
_space_group_IT_number 71
_space_group_name_Hall '-I 2 2'
loop_
_atom_site_label
_atom_site_type_symbol
_atom_site_fract_x
_atom_site_fract_y
_atom_site_fract_z
Cd1 Cd 0.0000 0.0000 0.0000
Ir1 Ir 0.0000 0.0000 0.5000
Os1 Os 0.0000 0.5000 0.2186



(12)
# PBE VZn3Tc, optimized geometry
# DFT formation energy in eV per formula unit: 5.12
# Excess energy over the best structure of this formula in the dataset in eV/atom: 0.000
data_VZn3Tc
_chemical_formula_sum 'V1 Zn3 Tc1'
_cell_length_a 4.7370
_cell_length_b 4.7370
_cell_length_c 4.7370
_cell_angle_alpha 90.00
_cell_angle_beta 90.00
_cell_angle_gamma 90.00
_space_group_name_H-M_alt 'P m -3 m'
_space_group_IT_number 221
_space_group_name_Hall '-P 4 2 3'
loop_
_atom_site_label
_atom_site_type_symbol
_atom_site_fract_x
_atom_site_fract_y
_atom_site_fract_z
V1 V 0.0000 0.0000 0.0000
Zn1 Zn 0.0000 0.5000 0.5000
Tc1 Tc 0.5000 0.5000 0.5000



Copy entry 10 word for word.
# PBE CaAgOs2, optimized geometry
# DFT formation energy in eV per formula unit: 2.96
# Excess energy over the best structure of this formula in the dataset in eV/atom: 0.413
data_CaAgOs2
_chemical_formula_sum 'Ca2 Ag2 Os4'
_cell_length_a 3.8447
_cell_length_b 3.8447
_cell_length_c 9.5828
_cell_angle_alpha 90.00
_cell_angle_beta 90.00
_cell_angle_gamma 90.00
_space_group_name_H-M_alt 'I 4/m m m'
_space_group_IT_number 139
_space_group_name_Hall '-I 4 2'
loop_
_atom_site_label
_atom_site_type_symbol
_atom_site_fract_x
_atom_site_fract_y
_atom_site_fract_z
Ca1 Ca 0.0000 0.0000 0.0000
Ag1 Ag 0.0000 0.0000 0.5000
Os1 Os 0.0000 0.5000 0.2500



Copy entry 3 word for word.
# PBE ZnRe2As, optimized geometry
# DFT formation energy in eV per formula unit: 1.63
# Excess energy over the best structure of this formula in the dataset in eV/atom: 0.263
data_ZnRe2As
_chemical_formula_sum 'Zn1 Re2 As1'
_cell_length_a 4.6083
_cell_length_b 2.9036
_cell_length_c 4.8528
_cell_angle_alpha 90.00
_cell_angle_beta 112.67
_cell_angle_gamma 90.00
_space_group_name_H-M_alt 'P 1 2/m 1'
_space_group_IT_number 10
loop_
_space_group_symop_operation_xyz
'x,y,z'
'-x,-y,-z'
'-x,y,-z'
'x,-y,z'
loop_
_atom_site_label
_atom_site_type_symbol
_atom_site_fract_x
_atom_site_fract_y
_atom_site_fract_z
Zn1 Zn 0.0000 0.0000 0.0000
Re1 Re 0.5000 0.0000 0.5000
Re2 Re 0.5000 0.5000 0.0000
As1 As 0.0000 0.5000 0.5000